[1]
A plane-wave DFT calculation with PBE was carried out for a relaxed structure of CeAs4Ru4.

It has space group P4_2/nmc (No. 137, origin choice 2), with a = 6.213 Å, b = 6.213 Å, c = 8.102 Å, α = 90.00°, β = 90.00° and γ = 90.00°. Symmetry generates all atoms from Ce at (0.250, 0.750, 0.250), As at (0.025, 0.250, 0.059) and Ru at (0.030, 0.250, 0.357).

The calculation puts the spin magnetization at 1.38 μB/cell.

=====

[2]
A plane-wave DFT calculation with PBE was carried out for a relaxed structure of CeAs2Ru2.

It has space group P4/mmm (No. 123), with a = 4.158 Å, b = 4.158 Å, c = 5.251 Å, α = 90.00°, β = 90.00° and γ = 90.00°. Symmetry generates all atoms from Ce at (0.000, 0.000, 0.000), As at (0.500, 0.500, 0.238) and Ru at (0.000, 0.500, 0.500).

The calculation puts the spin magnetization at 0.36 μB/cell.

=====

[3]
A plane-wave DFT calculation with PBE was carried out for a relaxed structure of Ce4As6Ru7.

It has space group Im-3m (No. 229), with a = 8.427 Å, b = 8.427 Å, c = 8.427 Å, α = 90.00°, β = 90.00° and γ = 90.00°. Symmetry generates all atoms from Ce at (0.250, 0.250, 0.250), As at (0.000, 0.000, 0.316), Ru at (0.000, 0.000, 0.000) and Ru at (0.000, 0.250, 0.500).

The calculation puts the spin magnetization at 0.00 μB/cell.

=====

[4]
A plane-wave DFT calculation with PBE was carried out for a relaxed structure of Ce2As7Ru12.

It has space group P-6 (No. 174), with a = 9.8163 Å, b = 9.8163 Å, c = 4.0108 Å, α = 90.00°, β = 90.00° and γ = 120.00°. Symmetry generates all atoms from Ce at (0.0000, 0.0000, 0.0000), Ce at (0.3333, 0.6667, 0.5000), As at (0.0678, 0.6220, 0.0000), As at (0.2529, 0.0330, 0.5000), As at (0.6667, 0.3333, 0.5000), Ru at (0.0333, 0.7646, 0.5000), Ru at (0.1065, 0.3883, 0.0000), Ru at (0.4510, 0.2367, 0.0000) and Ru at (0.5102, 0.0589, 0.5000).

The calculation puts the spin magnetization at 0.00 μB/cell.

=====

[5]
A plane-wave DFT calculation with PBE was carried out for a relaxed structure of CeAs2Ru.

It has space group I4/mmm (No. 139), with a = 4.149 Å, b = 4.149 Å, c = 18.816 Å, α = 90.00°, β = 90.00° and γ = 90.00°. Symmetry generates all atoms from Ce at (0.000, 0.000, 0.115), As at (0.000, 0.000, 0.321), As at (0.000, 0.500, 0.000) and Ru at (0.000, 0.500, 0.250).

The calculation puts the energy relative to the lowest polymorph listed for this composition at 0 meV per atom. The calculation puts the spin magnetization at 2.38 μB/cell.

=====

[6]
A plane-wave DFT calculation with PBE was carried out for a relaxed structure of Ce6AsRu2.

It has space group C2/c (No. 15), with a = 15.889 Å, b = 9.011 Å, c = 6.457 Å, α = 90.00°, β = 110.83° and γ = 90.00°. Symmetry generates all atoms from Ce at (0.079, 0.041, 0.461), Ce at (0.094, 0.370, 0.721), Ce at (0.181, 0.282, 0.213), As at (0.000, 0.345, 0.250) and Ru at (0.240, 0.004, 0.892).

The calculation puts the spin magnetization at 9.31 μB/cell.

=====

In states/eV/cell, the N(E_F) values for the records above are, in order, 20.56, 5.65, 21.45, 8.43, 14.30, 89.91.
In eV per cell, the DFT total energy values for the records above are, in order, -129.5, -36.6, -261.0, -165.2, -112.0, -248.7.
In eV/atom, the ΔH_f (0 K) values for the records above are, in order, -0.3474, -0.5688, -0.8187, -0.4493, -0.8750, -0.3744.